Compound: GaPt3Rh
Source: Alexandria via LeMat-Bulk
Functional: GGA-PBE
Structure: relaxed

Values from the calculation:
Polymorph energy (0 for the lowest one) in meV per atom: 1455
Space-group type: Pm-3m (221)
Calculated total energy in eV per cell: -22.770
Total magnetic moment in μB per cell: 1.60

Lattice parameters (Å, degrees): 4.848 4.848 4.848 90.00 90.00 90.00
Atoms (fractional coordinates):
Rh 0.000 0.000 0.000
Pt 0.000 0.500 0.000
Pt 0.000 0.000 0.500
Pt 0.500 0.000 0.000
Ga 0.500 0.500 0.500



Compound: KSn3Au2
Source: Alexandria via LeMat-Bulk
Functional: GGA-PBE
Structure: relaxed

Values from the calculation:
Polymorph energy (0 for the lowest one) in meV per atom: 0
Space-group type: C2/m (12)
Calculated total energy in eV per cell: -63.471
Total magnetic moment in μB per cell: 0.00

Lattice parameters (Å, degrees): 4.650 9.551 11.647 104.90 90.00 104.09
Atoms (fractional coordinates):
Au 0.464 0.928 0.203
K 0.161 0.321 0.706
K 0.839 0.679 0.294
Sn 0.791 0.581 0.625
Sn 0.500 0.000 0.500
Sn 0.325 0.650 0.036
Au 0.196 0.391 0.120
Au 0.536 0.072 0.797
Au 0.353 0.705 0.535
Sn 0.965 0.930 0.656
Au 0.647 0.295 0.465
Sn 0.380 0.759 0.802
Sn 0.035 0.070 0.344
Sn 0.620 0.241 0.198
Sn 0.209 0.419 0.375
K 0.000 0.000 0.000
Sn 0.675 0.350 0.964
Au 0.804 0.609 0.880



Compound: CsRhCl4
Source: Alexandria via LeMat-Bulk
Functional: GGA-PBE
Structure: relaxed

Values from the calculation:
Space-group type: C2/m (12)
Uncorrected formation energy in eV per formula unit: -5.98
Calculated total energy in eV per cell: -43.136
Total magnetic moment in μB per cell: 0.00

Lattice parameters (Å, degrees): 5.871 7.317 10.349 110.70 81.56 90.00
Atoms (fractional coordinates):
Cl 0.258 0.619 0.237
Cl 0.767 0.896 0.342
Rh 0.101 0.410 0.820
Cs 0.732 0.837 0.675
Cl 0.233 0.104 0.658
Cl 0.000 0.719 0.000
Cl 0.742 0.381 0.763
Rh 0.899 0.590 0.180
Cl 0.767 0.445 0.342
Cl 0.000 0.281 0.000
Cs 0.268 0.163 0.325
Cl 0.233 0.555 0.658



Compound: KSi6
Source: Alexandria via LeMat-Bulk
Functional: GGA-PBE
Structure: relaxed

Values from the calculation:
Space-group type: Im-3m (229)
Uncorrected formation energy in eV per formula unit: 0.19
Calculated total energy in eV per cell: -33.450
Total magnetic moment in μB per cell: 0.00

Lattice parameters (Å, degrees): 5.866 5.866 5.866 109.47 109.47 109.47
Atoms (fractional coordinates):
Si 0.250 0.500 0.750
Si 0.750 0.250 0.500
Si 0.750 0.500 0.250
Si 0.250 0.750 0.500
Si 0.500 0.750 0.250
Si 0.500 0.250 0.750
K 0.000 0.000 0.000



Compound: Rb2Mg12Tl7
Source: Alexandria via LeMat-Bulk
Functional: GGA-PBE
Structure: relaxed

Values from the calculation:
Space-group type: P-3 (147)
Calculated total energy in eV per cell: -37.976
Total magnetic moment in μB per cell: 0.00

Lattice parameters (Å, degrees): 4.764 11.937 11.937 120.00 90.00 90.00
Atoms (fractional coordinates):
Tl 0.744 0.594 0.881
Mg 0.248 0.429 0.383
Tl 0.744 0.287 0.406
Mg 0.237 0.736 0.856
Mg 0.763 0.856 0.120
Mg 0.752 0.046 0.429
Tl 0.256 0.406 0.119
Mg 0.752 0.383 0.954
Tl 0.256 0.713 0.594
Mg 0.763 0.264 0.144
Mg 0.248 0.954 0.571
Tl 0.500 0.000 0.000
Mg 0.248 0.617 0.046
Mg 0.237 0.144 0.880
Rb 0.248 0.333 0.667
Tl 0.744 0.119 0.713
Mg 0.752 0.571 0.617
Mg 0.763 0.880 0.736
Rb 0.752 0.667 0.333
Mg 0.237 0.120 0.264
Tl 0.256 0.881 0.287



Compound: Ta5Tc4Ru
Source: Alexandria via LeMat-Bulk
Functional: GGA-PBE
Structure: relaxed

Values from the calculation:
Space-group type: P4/mmm (123)
Calculated total energy in eV per cell: -114.725
Total magnetic moment in μB per cell: 0.00

Lattice parameters (Å, degrees): 3.187 3.187 15.894 90.00 90.00 90.00
Atoms (fractional coordinates):
Tc 0.000 0.000 0.400
Ta 0.500 0.500 0.500
Tc 0.000 0.000 0.600
Tc 0.000 0.000 0.801
Tc 0.000 0.000 0.199
Ta 0.500 0.500 0.300
Ta 0.500 0.500 0.700
Ta 0.500 0.500 0.102
Ta 0.500 0.500 0.898
Ru 0.000 0.000 0.000



Q: Look up the total magnetic moment of the second one.
A: 0.00 μB per cell



Q: Which of these has the lowest calculated total energy?
A: Ta5Tc4Ru